Entry 1:
The following is a DFT calculation (GGA-PBE) of ErInRuPt after structural relaxation.

It has space group F-43m (No. 216), with a = 6.656 Å, b = 6.656 Å, c = 6.656 Å, α = 90.00°, β = 90.00° and γ = 90.00°. The distinct sites, in fractional coordinates, are Er at (0.000, 0.000, 0.000), In at (0.000, 0.000, 0.500), Ru at (0.250, 0.250, 0.250) and Pt at (0.250, 0.250, 0.750).

As for the size of the total moment: 0.00 μB/cell. The value obtained for the formation energy is -0.597 eV per atom. For the uncorrected energy, the calculation gives -0.459 Ry/atom. The crystal system is cubic.



Entry 2:
The following is a DFT calculation (GGA-PBE) of ScNbSN2 after structural relaxation.

It has space group P4/mmm (No. 123), with a = 4.020 Å, b = 4.020 Å, c = 4.871 Å, α = 90.00°, β = 90.00° and γ = 90.00°. The distinct sites, in fractional coordinates, are Sc at (0.000, 0.000, 0.000), Nb at (0.500, 0.500, 0.500), S at (0.000, 0.000, 0.500) and N at (0.000, 0.500, 0.000).

For the energy relative to the elements, uncorrected, the calculation gives 519 meV per atom. As for the size of the total moment: 0.83 μB/cell. The excess energy over the best structure of this formula in the dataset is 0.952 eV/atom. For the uncorrected energy, the calculation gives -0.508 Ry/atom. The crystal system is tetragonal.



Entry 3:
The following is a DFT calculation (GGA-PBE) of Tb2CeF after structural relaxation.

It has space group R-3m (No. 166, hexagonal axes), with a = 3.2574 Å, b = 3.2574 Å, c = 30.7324 Å, α = 90.00°, β = 90.00° and γ = 120.00°. The distinct sites, in fractional coordinates, are Tb at (0.0000, 0.0000, 0.1056), Ce at (0.0000, 0.0000, 0.0000) and F at (0.0000, 0.0000, 0.5000).

For the energy relative to the elements, uncorrected, the calculation gives -887 meV per atom. As for the size of the total moment: 0.00 μB/cell. For the uncorrected energy, the calculation gives -0.379 Ry/atom. The crystal system is trigonal.



size of the total moment of number 1 (ErInRuPt)? 0.00 μB/cell



What is the size of the total moment in the third record? 0.00 μB/cell